(1)
# SnMoN2

SnMoN2 after structural relaxation (GGA-PBE, Alexandria via LeMat-Bulk).

Unit cell a=6.5873 b=6.5873 c=6.5873 alpha=28.11 beta=28.11 gamma=28.11
Closest atoms and distances in Å follow each position.
Fractional coordinates of all 4 atoms:
Sn: 0.0000 0.0000 0.0000  6 N 2.20
Mo: 0.5000 0.5000 0.5000  2 N 1.96
N: 0.3964 0.3964 0.3964  1 Mo 1.96
N: 0.6036 0.6036 0.6036  1 Mo 1.96

Values from the calculation:
**Crystal system**: trigonal
**E_form (uncorrected)**: 0.50 eV per atom
**Calculated volume**: 56.0 Å³ per cell

***

(2)
# SnMoN2

SnMoN2 after structural relaxation (GGA-PBE, Alexandria via LeMat-Bulk).

Unit cell a=6.0498 b=6.0498 c=6.0498 alpha=126.80 beta=126.80 gamma=78.58
Closest atoms and distances in Å follow each position.
Fractional coordinates of all 8 atoms:
Sn: 0.0000 0.0000 0.0000  4 N 2.72
Sn: 0.7500 0.2500 0.5000  4 N 2.72
Mo: 0.2500 0.7500 0.5000  4 N 1.91
Mo: 0.5000 0.5000 0.0000  4 N 1.91
N: 0.2528 0.6250 0.1278  2 Mo 1.91
N: 0.3750 0.5028 0.6278  2 Mo 1.91
N: 0.4972 0.1250 0.8722  2 Mo 1.91
N: 0.8750 0.7472 0.3722  2 Mo 1.91

Values from the calculation:
**Crystal system**: tetragonal
**E_form (uncorrected)**: 0.16 eV per atom
**Calculated volume**: 137.4 Å³ per cell

***

(3)
# SnMoN2

SnMoN2 after structural relaxation (GGA-PBE, Alexandria via LeMat-Bulk).

Unit cell a=7.0305 b=7.0305 c=7.0305 alpha=25.02 beta=25.02 gamma=25.02
Closest atoms and distances in Å follow each position.
Fractional coordinates of all 4 atoms:
Sn: 0.0000 0.0000 0.0000  2 N 2.24
Mo: 0.5000 0.5000 0.5000  6 N 2.11
N: 0.1097 0.1097 0.1097  3 Mo 2.11, 1 Sn 2.24
N: 0.8903 0.8903 0.8903  3 Mo 2.11, 1 Sn 2.24

Values from the calculation:
**Crystal system**: trigonal
**E_form (uncorrected)**: 0.02 eV per atom
**Calculated volume**: 54.7 Å³ per cell

***

(4)
# SnMoN

SnMoN after structural relaxation (GGA-PBE, Alexandria via LeMat-Bulk).

Unit cell a=2.9928 b=2.9928 c=11.2246 alpha=90.00 beta=90.00 gamma=90.00
Closest atoms and distances in Å follow each position.
Fractional coordinates of all 6 atoms:
Sn: 0.2500 0.2500 0.1353  4 Sn 2.99, 1 Mo 3.13
Sn: 0.7500 0.7500 0.8647  4 Sn 2.99, 1 Mo 3.13
Mo: 0.2500 0.2500 0.4143  5 N 2.13-2.20
Mo: 0.7500 0.7500 0.5857  5 N 2.13-2.20
N: 0.2500 0.2500 0.6101  5 Mo 2.13-2.20
N: 0.7500 0.7500 0.3899  5 Mo 2.13-2.20

Values from the calculation:
**Crystal system**: tetragonal
**E_form (uncorrected)**: 0.00 eV per atom
**Calculated volume**: 100.5 Å³ per cell

***

(5)
# SnMo3N

SnMo3N after structural relaxation (GGA-PBE, Alexandria via LeMat-Bulk).

Unit cell a=4.9083 b=4.9083 c=4.9083 alpha=90.00 beta=90.00 gamma=90.00
Closest atoms and distances in Å follow each position.
Fractional coordinates of all 5 atoms:
Sn: 0.0000 0.0000 0.0000  6 Mo 2.45
Mo: 0.0000 0.0000 0.5000  2 Sn 2.45
Mo: 0.0000 0.5000 0.0000  2 Sn 2.45
Mo: 0.5000 0.0000 0.0000  2 Sn 2.45
N: 0.5000 0.5000 0.5000  12 Mo 3.47

Values from the calculation:
**Crystal system**: cubic
**E_form (uncorrected)**: 3.45 eV per atom
**Calculated volume**: 118.3 Å³ per cell

***

(6)
# Sn4Mo2N

Sn4Mo2N after structural relaxation (GGA-PBE, Alexandria via LeMat-Bulk).

Unit cell a=7.4547 b=7.4547 c=7.4547 alpha=143.49 beta=143.49 gamma=52.59
Closest atoms and distances in Å follow each position.
Fractional coordinates of all 7 atoms:
Sn: 0.0000 0.5000 0.5000  2 N 2.34
Sn: 0.1722 0.1722 0.0000  1 N 2.30
Sn: 0.5000 0.0000 0.5000  2 N 2.34
Sn: 0.8278 0.8278 0.0000  1 N 2.30
Mo: 0.3779 0.3779 0.0000  5 Sn 2.75-2.85
Mo: 0.6221 0.6221 0.0000  5 Sn 2.75-2.85
N: 0.0000 0.0000 0.0000  6 Sn 2.30-2.34

Values from the calculation:
**Crystal system**: tetragonal
**E_form (uncorrected)**: 0.85 eV per atom
**Calculated volume**: 145.8 Å³ per cell

***

(7)
# Sn3MoN

Sn3MoN after structural relaxation (GGA-PBE, Alexandria via LeMat-Bulk).

Unit cell a=4.6196 b=4.6196 c=4.6196 alpha=90.00 beta=90.00 gamma=90.00
Closest atoms and distances in Å follow each position.
Fractional coordinates of all 5 atoms:
Sn: 0.0000 0.0000 0.5000  2 N 2.31
Sn: 0.0000 0.5000 0.0000  2 N 2.31
Sn: 0.5000 0.0000 0.0000  2 N 2.31
Mo: 0.5000 0.5000 0.5000  12 Sn 3.27
N: 0.0000 0.0000 0.0000  6 Sn 2.31

Values from the calculation:
**Crystal system**: cubic
**E_form (uncorrected)**: 0.85 eV per atom
**Calculated volume**: 98.6 Å³ per cell

***

(8)
# Sn3MoN

Sn3MoN after structural relaxation (GGA-PBE, Alexandria via LeMat-Bulk).

Unit cell a=5.2473 b=5.2473 c=5.2473 alpha=90.00 beta=90.00 gamma=90.00
Closest atoms and distances in Å follow each position.
Fractional coordinates of all 5 atoms:
Sn: 0.0000 0.0000 0.5000  2 Mo 2.62
Sn: 0.0000 0.5000 0.0000  2 Mo 2.62
Sn: 0.5000 0.0000 0.0000  2 Mo 2.62
Mo: 0.0000 0.0000 0.0000  6 Sn 2.62
N: 0.5000 0.5000 0.5000  12 Sn 3.71

Values from the calculation:
**Crystal system**: cubic
**E_form (uncorrected)**: 1.16 eV per atom
**Calculated volume**: 144.5 Å³ per cell

***

Energy in Ry per atom, matching the order above: -0.5416, -0.5670, -0.5767, -0.5674, -0.4049, -0.4204, -0.3956, -0.3730